First-principles (PBE-GGA) data for a geometry-optimized Ni9Sn structure, as listed in OQMD via LeMat-Bulk.

Output
The value obtained for the energy above the most stable polymorph in this dataset is 53 meV per atom. Its space group is No. 129.

Lattice parameters (Å, degrees): 2.629 2.629 44.684 90.00 90.00 90.00
Fractional positions:
Ni  0.250  0.250  0.018
Ni  0.250  0.250  0.090
Ni  0.250  0.250  0.163
Ni  0.250  0.250  0.234
Ni  0.250  0.250  0.306
Ni  0.250  0.250  0.730
Ni  0.250  0.250  0.801
Ni  0.250  0.250  0.873
Ni  0.250  0.250  0.946
Ni  0.750  0.750  0.054
Ni  0.750  0.750  0.127
Ni  0.750  0.750  0.199
Ni  0.750  0.750  0.270
Ni  0.750  0.750  0.694
Ni  0.750  0.750  0.766
Ni  0.750  0.750  0.837
Ni  0.750  0.750  0.910
Ni  0.750  0.750  0.982
Sn  0.250  0.250  0.648
Sn  0.750  0.750  0.352

=====

First-principles (PBE-GGA) data for a geometry-optimized NpF4 structure, as listed in OQMD via LeMat-Bulk.

Output
The value obtained for the energy above the most stable polymorph in this dataset is 0 meV per atom. Its space group is No. 15.

Lattice parameters (Å, degrees): 8.190 8.190 8.212 117.24 117.24 80.57
Fractional positions:
Np  0.212  0.788  0.750
Np  0.221  0.368  0.170
Np  0.368  0.221  0.670
Np  0.632  0.779  0.330
Np  0.779  0.632  0.830
Np  0.788  0.212  0.250
F  0.000  0.500  0.000
F  0.036  0.728  0.860
F  0.067  0.163  0.451
F  0.163  0.067  0.951
F  0.175  0.600  0.424
F  0.254  0.319  0.893
F  0.256  0.501  0.713
F  0.272  0.964  0.640
F  0.319  0.254  0.393
F  0.390  0.610  0.250
F  0.400  0.825  0.076
F  0.499  0.744  0.787
F  0.500  0.000  0.500
F  0.501  0.256  0.213
F  0.600  0.175  0.924
F  0.610  0.390  0.750
F  0.681  0.746  0.607
F  0.728  0.036  0.360
F  0.744  0.499  0.287
F  0.746  0.681  0.107
F  0.825  0.400  0.576
F  0.837  0.933  0.049
F  0.933  0.837  0.549
F  0.964  0.272  0.140

=====

First-principles (PBE-GGA) data for a geometry-optimized ZnTe structure, as listed in OQMD via LeMat-Bulk.

Output
The value obtained for the total energy is -9.4 eV/cell. Its space group is No. 59.

Lattice parameters (Å, degrees): 3.761 5.720 4.317 90.00 90.00 90.00
Fractional positions:
Zn  0.250  0.250  0.232
Zn  0.750  0.750  0.768
Te  0.250  0.750  0.258
Te  0.750  0.250  0.742

=====

First-principles (PBE-GGA) data for a geometry-optimized AgIrSeO structure, as listed in OQMD via LeMat-Bulk.

Output
The value obtained for the energy above the most stable polymorph in this dataset is 83 meV per atom. Its space group is No. 4.

Lattice parameters (Å, degrees): 5.319 5.060 10.428 90.00 92.21 90.00
Fractional positions:
Ag  0.177  0.000  0.375
Ag  0.300  0.518  0.516
Ag  0.700  0.018  0.484
Ag  0.823  0.500  0.625
Ir  0.093  0.316  0.115
Ir  0.413  0.912  0.124
Ir  0.587  0.412  0.876
Ir  0.907  0.816  0.885
Se  0.252  0.660  0.763
Se  0.376  0.544  0.271
Se  0.624  0.044  0.729
Se  0.748  0.160  0.237
O  0.106  0.698  0.045
O  0.368  0.212  0.995
O  0.632  0.712  0.005
O  0.894  0.198  0.955

=====

First-principles (PBE-GGA) data for a geometry-optimized Sm2AlInI2 structure, as listed in OQMD via LeMat-Bulk.

Output
The value obtained for the total energy is -24.4 eV/cell. Its space group is No. 156.

Lattice parameters (Å, degrees): 4.441 4.441 12.428 90.00 90.00 120.00
Fractional positions:
Sm  0.000  0.000  0.000
Sm  0.000  0.000  0.346
Al  0.333  0.667  0.203
In  0.667  0.333  0.149
I  0.333  0.667  0.842
I  0.667  0.333  0.504

=====

First-principles (PBE-GGA) data for a geometry-optimized PaGaRe structure, as listed in OQMD via LeMat-Bulk.

Output
The value obtained for the total energy is -51.5 eV/cell. Its space group is No. 74.

Lattice parameters (Å, degrees): 5.359 5.359 5.359 120.85 117.21 91.72
Fractional positions:
Pa  0.393  0.143  0.250
Pa  0.607  0.857  0.750
Ga  0.000  0.000  0.500
Ga  0.000  0.500  0.000
Re  0.000  0.500  0.500
Re  0.500  0.500  0.000

=====

First-principles (PBE-GGA) data for a geometry-optimized Tb2SmIn3PtAu2 structure, as listed in OQMD via LeMat-Bulk.

Output
The value obtained for the total energy is -42.3 eV/cell. Its space group is No. 38.

Lattice parameters (Å, degrees): 3.998 7.757 7.757 120.11 90.00 90.00
Fractional positions:
Tb  0.000  0.201  0.799
Tb  0.000  0.799  0.201
Sm  0.000  0.604  0.604
In  0.500  0.200  0.455
In  0.500  0.455  0.200
In  0.500  0.946  0.946
Pt  0.000  0.198  0.198
Au  0.500  0.533  0.870
Au  0.500  0.870  0.533

=====

First-principles (PBE-GGA) data for a geometry-optimized ErTmCu2As4 structure, as listed in OQMD via LeMat-Bulk.

Output
The value obtained for the total energy is -41.5 eV/cell. Its space group is No. 99.

Lattice parameters (Å, degrees): 3.887 3.887 9.757 90.00 90.00 90.00
Fractional positions:
Er  0.000  0.000  0.000
Tm  0.500  0.500  0.527
Cu  0.000  0.500  0.264
Cu  0.500  0.000  0.264
As  0.000  0.000  0.428
As  0.000  0.500  0.763
As  0.500  0.000  0.763
As  0.500  0.500  0.100